Entry 1:
Zr3CrGa PBE relaxed; density of states at the Fermi level = 8.5 states/eV/f.u.; calculated volume = 22.18 Å³/atom; formation energy from the elements = 0.45 eV/atom; theoretical density = 5.920 Mg/m³; total energy = -36.0 eV/cell; polymorph energy (0 for the lowest one) = 0.0 meV per atom
1.0
-3.0087 3.5198 -1.2813
-2.7329 -3.1866 -2.3367
-2.5617 -0.7345 3.9976
Ga Cr Zr
1 1 3
Direct
0.5000 0.5000 0.5000
0.0000 0.0000 0.0000
0.0000 0.0000 0.5000
0.5000 0.0000 0.0000
0.0000 0.5000 0.0000

Entry 2:
Zr2Cr2Ga PBE relaxed; density of states at the Fermi level = 6.0 states/eV/f.u.; calculated volume = 17.28 Å³/atom; formation energy from the elements = -0.05 eV/atom; theoretical density = 6.846 Mg/m³; total energy = -79.2 eV/cell
1.0
6.5491 0.0000 0.0000
0.0000 6.5491 0.0000
0.0000 0.0000 4.0280
Cr Zr Ga
4 4 2
Direct
0.6081 0.1081 0.0000
0.8919 0.6081 0.0000
0.3919 0.8919 0.0000
0.1081 0.3919 0.0000
0.3162 0.1838 0.5000
0.8162 0.3162 0.5000
0.1838 0.6838 0.5000
0.6838 0.8162 0.5000
0.0000 0.0000 0.0000
0.5000 0.5000 0.0000

Entry 3:
GdCrGe2 PBE relaxed; density of states at the Fermi level = 2.4 states/eV/f.u.; calculated volume = 19.53 Å³/atom; formation energy from the elements = -0.36 eV/atom; theoretical density = 7.534 Mg/m³; total energy = -34.4 eV/cell
1.0
4.1971 0.0000 0.0000
2.0986 3.6348 0.0000
2.0986 1.2116 5.1219
Ge Cr Gd
2 1 1
Direct
0.2232 0.2232 0.3305
0.7768 0.7768 0.6695
0.5000 0.5000 0.5000
0.0000 0.0000 0.0000

Question: Look up the theoretical density of the third one.
Answer: 7.534 Mg/m³